[1]
{"formula": "RbAsBr2O", "functional": "PBE", "state": "relaxed", "lattice": [[6.396, 0.000, 0.000], [0.000, 6.396, 0.000], [0.000, 0.000, 3.703]], "species": ["Rb", "As", "Br", "Br", "O"], "fractional_positions": [[0.000, 0.000, 0.000], [0.500, 0.500, 0.000], [0.000, 0.500, 0.500], [0.500, 0.000, 0.500], [0.500, 0.500, 0.500]], "final_energy_ev_per_fu": -16.48, "sg": "No. 123", "m_tot_mub_per_atom": 0.000}

---

[2]
{"formula": "Rb5AsBr2O4", "functional": "PBE", "state": "relaxed", "lattice": [[9.079, 0.000, 0.000], [0.000, 5.322, 3.489], [0.000, -5.322, 3.489]], "species": ["Rb", "Rb", "Rb", "Rb", "Rb", "As", "Br", "Br", "O", "O", "O", "O"], "fractional_positions": [[0.000, 0.000, 0.000], [0.303, 0.189, 0.555], [0.303, 0.555, 0.189], [0.697, 0.189, 0.555], [0.697, 0.555, 0.189], [0.500, 0.891, 0.891], [0.000, 0.441, 0.821], [0.000, 0.821, 0.441], [0.346, 0.043, 0.043], [0.500, 0.613, 0.878], [0.500, 0.878, 0.613], [0.654, 0.043, 0.043]], "final_energy_ev_per_fu": -51.87, "sg": "No. 38", "m_tot_mub_per_atom": 0.017}

---

[3]
{"formula": "ReAs2BrO", "functional": "PBE", "state": "relaxed", "lattice": [[4.083, 0.000, 0.000], [0.000, 4.083, 0.000], [0.000, 0.000, 5.318]], "species": ["Re", "As", "As", "Br", "O"], "fractional_positions": [[0.000, 0.000, 0.000], [0.000, 0.500, 0.500], [0.500, 0.000, 0.500], [0.500, 0.500, 0.000], [0.500, 0.500, 0.500]], "final_energy_ev_per_fu": -23.52, "sg": "No. 123", "m_tot_mub_per_atom": 0.404}

---

[4]
{"formula": "ReAs2BrO", "functional": "PBE", "state": "relaxed", "lattice": [[4.732, 0.000, 0.000], [0.000, 4.732, 0.000], [0.000, 0.000, 5.383]], "species": ["Re", "As", "As", "Br", "O"], "fractional_positions": [[0.000, 0.000, 0.000], [0.000, 0.500, 0.000], [0.500, 0.000, 0.000], [0.000, 0.000, 0.500], [0.500, 0.500, 0.500]], "final_energy_ev_per_fu": -23.98, "sg": "No. 123", "m_tot_mub_per_atom": 0.297}

---

[5]
{"formula": "As2RhBrO", "functional": "PBE", "state": "relaxed", "lattice": [[4.705, 0.000, 0.000], [0.000, 4.705, 0.000], [0.000, 0.000, 5.363]], "species": ["As", "As", "Rh", "Br", "O"], "fractional_positions": [[0.000, 0.500, 0.000], [0.500, 0.000, 0.000], [0.000, 0.000, 0.000], [0.000, 0.000, 0.500], [0.500, 0.500, 0.500]], "final_energy_ev_per_fu": -19.48, "sg": "No. 123", "m_tot_mub_per_atom": 0.412}

---

[6]
{"formula": "AsRhBr2O", "functional": "PBE", "state": "relaxed", "lattice": [[4.735, 0.000, 0.000], [0.000, 4.735, 0.000], [0.000, 0.000, 4.221]], "species": ["As", "Rh", "Br", "Br", "O"], "fractional_positions": [[0.000, 0.000, 0.000], [0.500, 0.500, 0.000], [0.000, 0.500, 0.500], [0.500, 0.000, 0.500], [0.000, 0.000, 0.500]], "final_energy_ev_per_fu": -16.21, "sg": "No. 123", "m_tot_mub_per_atom": 0.185}

---

[7]
{"formula": "As2RhBrO", "functional": "PBE", "state": "relaxed", "lattice": [[4.074, 0.000, 0.000], [0.000, 4.074, 0.000], [0.000, 0.000, 5.514]], "species": ["As", "As", "Rh", "Br", "O"], "fractional_positions": [[0.000, 0.500, 0.000], [0.500, 0.000, 0.000], [0.000, 0.000, 0.500], [0.500, 0.500, 0.500], [0.500, 0.500, 0.000]], "final_energy_ev_per_fu": -20.87, "sg": "No. 123", "m_tot_mub_per_atom": 0.000}

---

[8]
{"formula": "AsRhBr2O", "functional": "PBE", "state": "relaxed", "lattice": [[5.048, 0.000, 0.000], [0.000, 5.048, 0.000], [0.000, 0.000, 4.694]], "species": ["As", "Rh", "Br", "Br", "O"], "fractional_positions": [[0.000, 0.000, 0.000], [0.000, 0.000, 0.500], [0.000, 0.500, 0.500], [0.500, 0.000, 0.500], [0.500, 0.500, 0.000]], "final_energy_ev_per_fu": -16.28, "sg": "No. 123", "m_tot_mub_per_atom": 0.000}

---

[9]
{"formula": "AsRuBr2O", "functional": "PBE", "state": "relaxed", "lattice": [[5.110, 0.000, 0.000], [0.000, 5.110, 0.000], [0.000, 0.000, 4.651]], "species": ["As", "Ru", "Br", "Br", "O"], "fractional_positions": [[0.000, 0.000, 0.000], [0.000, 0.000, 0.500], [0.000, 0.500, 0.500], [0.500, 0.000, 0.500], [0.500, 0.500, 0.000]], "final_energy_ev_per_fu": -18.01, "sg": "No. 123", "m_tot_mub_per_atom": 0.105}

---

[10]
{"formula": "AsRuBr2O", "functional": "PBE", "state": "relaxed", "lattice": [[4.718, 0.000, 0.000], [0.000, 4.718, 0.000], [0.000, 0.000, 4.264]], "species": ["As", "Ru", "Br", "Br", "O"], "fractional_positions": [[0.000, 0.000, 0.000], [0.500, 0.500, 0.000], [0.000, 0.500, 0.500], [0.500, 0.000, 0.500], [0.000, 0.000, 0.500]], "final_energy_ev_per_fu": -17.18, "sg": "No. 123", "m_tot_mub_per_atom": 0.431}

---

[11]
{"formula": "AsSBr2O", "functional": "PBE", "state": "relaxed", "lattice": [[4.840, 0.000, 0.000], [0.000, 4.840, 0.000], [0.000, 0.000, 4.290]], "species": ["As", "S", "Br", "Br", "O"], "fractional_positions": [[0.000, 0.000, 0.000], [0.500, 0.500, 0.000], [0.000, 0.500, 0.500], [0.500, 0.000, 0.500], [0.000, 0.000, 0.500]], "final_energy_ev_per_fu": -12.94, "sg": "No. 123", "m_tot_mub_per_atom": 0.000}

---

Q: Which formula does entry 1 have?
A: RbAsBr2O